An optimized crystal structure of Sr2PbAuO6, computed with GGA-PBE.

Cell lengths 4.343, 5.908, 5.908 Å; angles 90.00, 90.00, 90.00 degrees
Fractional coordinates of all 10 atoms:
O 0.125 0.500 0.500
O 0.690 0.243 0.757
O 0.690 0.757 0.243
O 0.690 0.757 0.757
O 0.690 0.243 0.243
O 0.154 0.000 0.000
Au 0.648 0.000 0.000
Sr 0.072 0.000 0.500
Sr 0.072 0.500 0.000
Pb 0.613 0.500 0.500

Space-group type = No. 99
VASP energy = -5.33 eV/atom
D(E_F) = 1.638 states/eV/cell
ΔE_f (raw) = -1.32 eV per atom
Crystal system = tetragonal
Calculated density = 7.4 g/cm3